VASP calculation (PBE) on La2PmBi after structural relaxation.

Output
DFT total energy: -4.6422 eV per atom
Energy of formation: -0.021 eV/atom

The structure in CIF format:
```
data_La2PmBi
_chemical_formula_sum 'La6 Pm3 Bi3'
_cell_length_a 4.1374
_cell_length_b 4.1374
_cell_length_c 33.0051
_cell_angle_alpha 90.00
_cell_angle_beta 90.00
_cell_angle_gamma 120.00
_space_group_name_H-M_alt 'R -3 m'
_space_group_IT_number 166
_space_group_name_Hall '-R 3 2"'
loop_
_atom_site_label
_atom_site_type_symbol
_atom_site_fract_x
_atom_site_fract_y
_atom_site_fract_z
La1 La 0.0000 0.0000 0.1021
Pm1 Pm 0.0000 0.0000 0.0000
Bi1 Bi 0.0000 0.0000 0.5000
```